{"formula": "CrHgN2O", "functional": "PBE with a Hubbard U", "state": "relaxed", "final_energy_ha_per_atom": -0.13362, "total_magnetization_mub_per_atom": 0.441, "cell": [[4.210, 0.000, 0.000], [0.000, 4.210, 0.000], [0.000, 0.000, 4.220]], "species": ["Cr", "Hg", "N", "N", "O"], "frac_coords": [[0.000, 0.000, 0.000], [0.500, 0.500, 0.500], [0.000, 0.500, 0.500], [0.500, 0.000, 0.500], [0.500, 0.500, 0.000]]}